Density functional theory data (PBE+U) for crystalline Ni2TePdO6 at its relaxed geometry.

Unit cell a=5.479 b=4.981 c=5.965 alpha=67.22 beta=55.42 gamma=63.38
Fractional coordinates of all 10 atoms:
O 0.553 0.291 0.203
O 0.175 0.346 0.800
O 0.743 0.071 0.787
O 0.227 0.934 0.264
O 0.419 0.706 0.753
O 0.917 0.608 0.247
Ni 0.995 0.008 0.961
Ni 0.479 0.553 0.432
Te 0.335 0.316 0.030
Pd 0.820 0.827 0.537

## Properties
**Space-group type**: P1
**Theoretical density**: 6.30 Mg/m³
**Magnetic moment**: 3.95 μB per cell
**Electronic total energy**: -0.38000 Ry per atom